# ScAlFe SCAN PBEsol geometry
data_ScAlFe
_chemical_formula_sum 'Sc2 Al2 Fe2'
_cell_length_a 3.047
_cell_length_b 3.047
_cell_length_c 9.649
_cell_angle_alpha 90.00
_cell_angle_beta 90.00
_cell_angle_gamma 90.00
_symmetry_space_group_name_H-M 'I 4 m m'
_symmetry_Int_Tables_number 107
_symmetry_space_group_name_Hall 'I 4 -2'
loop_
_atom_site_label
_atom_site_type_symbol
_atom_site_fract_x
_atom_site_fract_y
_atom_site_fract_z
Sc1 Sc 0.000 0.000 0.000
Al1 Al 0.000 0.000 0.713
Fe1 Fe 0.000 0.000 0.340
# ΔE_f in eV/atom: -0.27
# Total magnetic moment in Bohr magnetons per cell: 0.19

# ScAl2Fe SCAN PBEsol geometry
data_ScAl2Fe
_chemical_formula_sum 'Sc4 Al8 Fe4'
_cell_length_a 3.766
_cell_length_b 3.766
_cell_length_c 18.863
_cell_angle_alpha 90.00
_cell_angle_beta 90.00
_cell_angle_gamma 90.00
_symmetry_space_group_name_H-M 'I -4 2 d'
_symmetry_Int_Tables_number 122
_symmetry_space_group_name_Hall 'I -4 2bw'
loop_
_atom_site_label
_atom_site_type_symbol
_atom_site_fract_x
_atom_site_fract_y
_atom_site_fract_z
Sc1 Sc 0.000 0.000 0.000
Al1 Al 0.230 0.250 0.625
Fe1 Fe 0.000 0.000 0.500
# ΔE_f in eV/atom: 0.19
# Total magnetic moment in Bohr magnetons per cell: 6.37

# ScAlFe2 SCAN PBEsol geometry
data_ScAlFe2
_chemical_formula_sum 'Sc1 Al1 Fe2'
_cell_length_a 3.089
_cell_length_b 3.089
_cell_length_c 5.703
_cell_angle_alpha 90.00
_cell_angle_beta 90.00
_cell_angle_gamma 90.00
_symmetry_space_group_name_H-M 'P 4/m m m'
_symmetry_Int_Tables_number 123
_symmetry_space_group_name_Hall '-P 4 2'
loop_
_atom_site_label
_atom_site_type_symbol
_atom_site_fract_x
_atom_site_fract_y
_atom_site_fract_z
Sc1 Sc 0.000 0.000 0.000
Al1 Al 0.000 0.000 0.500
Fe1 Fe 0.500 0.500 0.291
# ΔE_f in eV/atom: -0.16
# Total magnetic moment in Bohr magnetons per cell: 2.76

# ScAl2Fe SCAN PBEsol geometry
data_ScAl2Fe
_chemical_formula_sum 'Sc2 Al4 Fe2'
_cell_length_a 3.175
_cell_length_b 4.396
_cell_length_c 8.634
_cell_angle_alpha 90.00
_cell_angle_beta 90.00
_cell_angle_gamma 90.00
_symmetry_space_group_name_H-M 'I m m 2'
_symmetry_Int_Tables_number 44
loop_
_symmetry_equiv_pos_as_xyz
'x,y,z'
'-x,-y,z'
'-x,y,z'
'x,-y,z'
'x+1/2,y+1/2,z+1/2'
'-x+1/2,-y+1/2,z+1/2'
'-x+1/2,y+1/2,z+1/2'
'x+1/2,-y+1/2,z+1/2'
loop_
_atom_site_label
_atom_site_type_symbol
_atom_site_fract_x
_atom_site_fract_y
_atom_site_fract_z
Sc1 Sc 0.000 0.000 0.000
Al1 Al 0.000 0.000 0.556
Al2 Al 0.000 0.500 0.780
Fe1 Fe 0.000 0.500 0.275
# ΔE_f in eV/atom: -0.18
# Total magnetic moment in Bohr magnetons per cell: 2.91

> Among the records above, which one has the lowest total magnetic moment?

ScAlFe